U2PaS6 | PBE | relaxed

Unit cell a=4.988 b=7.224 c=7.653 alpha=72.11 beta=70.98 gamma=69.80
Fractional positions:
1 U 0.180 0.745 0.894
2 U 0.820 0.255 0.106
3 Pa 0.000 0.500 0.500
4 S 0.759 0.626 0.857
5 S 0.241 0.374 0.143
6 S 0.959 0.853 0.228
7 S 0.376 0.700 0.547
8 S 0.041 0.147 0.772
9 S 0.624 0.300 0.453

formation energy from raw total energies = -1.3543 eV/atom
excess energy over the best structure of this formula in the dataset = 131 meV per atom
raw total energy = -7.67 eV/atom
DOS(E_F) = 16.33 states/eV per cell
ρ = 6.3 Mg/m³
total moment = 5.0 μB per cell